PBE Ho2Ni17, relaxed; distance to the lowest polymorph of the same formula = 3 meV per atom; E_form = -0.200 eV per atom
1.0
-6.1931 -0.6708 0.3539
-0.3673 -0.3855 6.2166
-1.3538 5.9990 1.0534
Ni Ho
17 2
Cartesian
-5.8343 1.3758 2.8160 Ni
-1.0637 4.1211 2.5721 Ni
-4.9911 3.4243 1.8784 Ni
-3.0966 -0.3354 0.1770 Ni
-2.0809 -0.4694 4.4922 Ni
-2.0800 3.5668 4.8080 Ni
-4.4981 0.2341 4.4584 Ni
-0.6769 2.9995 0.5267 Ni
-2.7772 4.0372 0.8477 Ni
-7.1284 4.4519 6.8669 Ni
-0.6574 1.4924 4.6980 Ni
-3.4162 4.7086 3.1656 Ni
-0.7859 0.4908 0.7570 Ni
-4.4796 -0.5869 2.0783 Ni
-2.9232 1.5184 5.7455 Ni
-4.7697 1.2910 0.5597 Ni
-0.1836 -0.1928 3.1083 Ni
-5.2267 3.2642 5.0350 Ho
-2.6876 1.6784 2.5890 Ho